1.
Entry from the Alexandria database: a relaxed Ca2LaCr crystal (PBE).

Output
- uncorrected energy (Ry/atom) = -0.320
- D(E_F) (states/eV/cell) = 5.1
- energy relative to the lowest polymorph listed for this composition (eV per atom) = 0.000

Cell and atoms, written as POSCAR:
```
Ca2LaCr
1.0
-0.940 -3.590 0.680
3.533 -0.714 1.112
-2.307 2.268 8.786
Cr La Ca
1 1 2
direct
0.000 0.000 0.509 Cr
0.500 0.500 0.690 La
0.500 0.500 0.306 Ca
0.000 0.000 0.995 Ca
```

2.
Entry from the Alexandria database: a relaxed CaLaCr4 crystal (PBE).

Output
- uncorrected energy (Ry/atom) = -0.506
- D(E_F) (states/eV/cell) = 9.4

Cell and atoms, written as POSCAR:
```
CaLaCr4
1.0
2.385 -0.470 4.662
-2.705 -1.696 4.177
0.959 -4.770 1.993
Cr Ca La
4 1 1
direct
0.376 0.871 0.376 Cr
0.376 0.376 0.376 Cr
0.376 0.376 0.871 Cr
0.871 0.376 0.376 Cr
0.000 0.000 0.000 Ca
0.750 0.750 0.750 La
```

Number 1: formation energy 0.290 eV per atom. Number 2: formation energy 0.679 eV per atom.